a | Entry from Alexandria via LeMat-Bulk: a geometry-optimized SrRePb2 structure (GGA-PBE).

The structure in POSCAR format:
```
SrRePb2
1.0
3.711 0.000 0.000
0.000 3.711 0.000
0.000 0.000 7.916
Sr Re Pb
1 1 2
direct
0.000 0.000 0.000
0.500 0.500 0.715
0.000 0.000 0.587
0.500 0.500 0.323
```

Computed properties:
Total magnetic moment in μB/f.u.: 0.00


b | Entry from Alexandria via LeMat-Bulk: a geometry-optimized SrRePb2 structure (GGA-PBE).

The structure in POSCAR format:
```
SrRePb2
1.0
0.000 3.767 3.767
3.767 0.000 3.767
3.767 3.767 0.000
Sr Re Pb
1 1 2
direct
0.000 0.000 0.000
0.250 0.250 0.250
0.500 0.500 0.500
0.750 0.750 0.750
```

Computed properties:
Total magnetic moment in μB/f.u.: 1.98


Which one sits at the bottom of the stability order? b does.


a | Entry from Alexandria via LeMat-Bulk: a geometry-optimized SrRePb2 structure (GGA-PBE).

The structure in POSCAR format:
```
SrRePb2
1.0
3.292 -4.649 0.000
3.292 4.649 0.000
-0.196 0.000 3.396
Sr Re Pb
1 1 2
direct
0.000 0.000 0.000
0.500 0.500 0.000
0.000 0.500 0.500
0.500 0.000 0.500
```

Computed properties:
Total magnetic moment in μB/f.u.: 1.90


b | Entry from Alexandria via LeMat-Bulk: a geometry-optimized SrRePb2 structure (GGA-PBE).

The structure in POSCAR format:
```
SrRePb2
1.0
1.877 1.084 8.963
-1.877 1.084 8.963
0.000 -2.168 8.963
Sr Re Pb
1 1 2
direct
0.000 0.000 0.000
0.500 0.500 0.500
0.235 0.235 0.235
0.765 0.765 0.765
```

Computed properties:
Total magnetic moment in μB/f.u.: 0.00


c | Entry from Alexandria via LeMat-Bulk: a geometry-optimized SrRePb2 structure (GGA-PBE).

The structure in POSCAR format:
```
SrRePb2
1.0
4.051 -2.334 0.000
4.051 2.334 0.000
-2.688 0.000 5.809
Sr Re Pb
1 1 2
direct
0.000 0.000 0.000
0.500 0.500 0.500
0.222 0.222 0.666
0.778 0.778 0.334
```

Computed properties:
Total magnetic moment in μB/f.u.: 0.00


Which one sits at the bottom of the stability order? a does.


a | Entry from Alexandria via LeMat-Bulk: a geometry-optimized TaRe3Pb structure (GGA-PBE).

The structure in POSCAR format:
```
TaRe3Pb
1.0
4.827 0.000 0.000
0.000 4.827 0.000
0.000 0.000 4.827
Ta Re Pb
1 3 1
direct
0.000 0.000 0.000
0.000 0.500 0.500
0.500 0.000 0.500
0.500 0.500 0.000
0.500 0.500 0.500
```

Computed properties:
Total magnetic moment in μB/f.u.: 0.00


b | Entry from Alexandria via LeMat-Bulk: a geometry-optimized TaRe3Pb structure (GGA-PBE).

The structure in POSCAR format:
```
TaRe3Pb
1.0
4.859 0.000 0.000
0.000 4.859 0.000
0.000 0.000 4.859
Ta Re Pb
1 3 1
direct
0.000 0.000 0.000
0.000 0.000 0.500
0.000 0.500 0.000
0.500 0.000 0.000
0.500 0.500 0.500
```

Computed properties:
Total magnetic moment in μB/f.u.: 2.94


Which one sits at the bottom of the stability order? a does.


a | Entry from Alexandria via LeMat-Bulk: a geometry-optimized TaRePb2 structure (GGA-PBE).

The structure in POSCAR format:
```
TaRePb2
1.0
1.598 0.923 9.273
-1.598 0.923 9.273
0.000 -1.846 9.273
Ta Re Pb
1 1 2
direct
0.000 0.000 0.000
0.500 0.500 0.500
0.246 0.246 0.246
0.754 0.754 0.754
```

Computed properties:
Total magnetic moment in μB/f.u.: 0.02


b | Entry from Alexandria via LeMat-Bulk: a geometry-optimized TaRePb2 structure (GGA-PBE).

The structure in POSCAR format:
```
TaRePb2
1.0
4.954 0.000 0.000
0.000 3.411 0.000
-2.150 0.000 4.997
Ta Re Pb
1 1 2
direct
0.000 0.000 0.000
0.500 0.500 0.000
0.000 0.500 0.500
0.500 0.000 0.500
```

Computed properties:
Total magnetic moment in μB/f.u.: 0.00


c | Entry from Alexandria via LeMat-Bulk: a geometry-optimized TaRePb2 structure (GGA-PBE).

The structure in POSCAR format:
```
TaRePb2
1.0
-2.080 2.080 10.343
2.080 -2.080 10.343
2.080 2.080 -10.343
Ta Re Pb
2 2 4
direct
0.000 0.000 0.000
0.750 0.250 0.500
0.250 0.750 0.500
0.500 0.500 0.000
0.127 0.625 0.002
0.375 0.377 0.502
0.623 0.125 0.998
0.875 0.873 0.498
```

Computed properties:
Total magnetic moment in μB/f.u.: 0.00


d | Entry from Alexandria via LeMat-Bulk: a geometry-optimized TaRePb2 structure (GGA-PBE).

The structure in POSCAR format:
```
TaRePb2
1.0
1.693 -2.586 0.000
1.693 2.586 0.000
0.000 0.000 10.703
Ta Re Pb
1 1 2
direct
0.000 0.000 0.000
0.500 0.500 0.177
0.000 0.000 0.416
0.500 0.500 0.751
```

Computed properties:
Total magnetic moment in μB/f.u.: 0.00


Which one sits at the bottom of the stability order? c does.


a | Entry from Alexandria via LeMat-Bulk: a geometry-optimized TaRePb2 structure (GGA-PBE).

The structure in POSCAR format:
```
TaRePb2
1.0
-1.661 2.580 4.893
1.661 -2.580 4.893
1.661 2.580 -4.893
Ta Re Pb
1 1 2
direct
0.000 0.000 0.000
0.500 0.500 0.000
0.266 0.766 0.500
0.734 0.234 0.500
```

Computed properties:
Total magnetic moment in μB/f.u.: 0.00


b | Entry from Alexandria via LeMat-Bulk: a geometry-optimized TaRePb2 structure (GGA-PBE).

The structure in POSCAR format:
```
TaRePb2
1.0
1.661 -2.680 0.000
1.661 2.680 0.000
0.000 0.000 9.406
Ta Re Pb
1 1 2
direct
0.000 0.000 0.000
0.000 0.000 0.500
0.500 0.500 0.260
0.500 0.500 0.740
```

Computed properties:
Total magnetic moment in μB/f.u.: 0.00


Which one sits at the bottom of the stability order? b does.


a | Entry from Alexandria via LeMat-Bulk: a geometry-optimized TaRePb2 structure (GGA-PBE).

The structure in POSCAR format:
```
TaRePb2
1.0
0.000 3.428 3.428
3.428 0.000 3.428
3.428 3.428 0.000
Ta Re Pb
1 1 2
direct
0.000 0.000 0.000
0.500 0.500 0.500
0.250 0.250 0.250
0.750 0.750 0.750
```

Computed properties:
Total magnetic moment in μB/f.u.: 0.28


b | Entry from Alexandria via LeMat-Bulk: a geometry-optimized TaRePb2 structure (GGA-PBE).

The structure in POSCAR format:
```
TaRePb2
1.0
-2.162 2.162 4.468
2.162 -2.162 4.468
2.162 2.162 -4.468
Ta Re Pb
1 1 2
direct
0.000 0.000 0.000
0.500 0.500 0.000
0.250 0.750 0.500
0.750 0.250 0.500
```

Computed properties:
Total magnetic moment in μB/f.u.: 0.00


c | Entry from Alexandria via LeMat-Bulk: a geometry-optimized TaRePb2 structure (GGA-PBE).

The structure in POSCAR format:
```
TaRePb2
1.0
1.613 0.931 10.903
-1.613 0.931 10.903
0.000 -1.863 10.903
Ta Re Pb
1 1 2
direct
0.000 0.000 0.000
0.720 0.720 0.720
0.249 0.249 0.249
0.467 0.467 0.467
```

Computed properties:
Total magnetic moment in μB/f.u.: 0.00


d | Entry from Alexandria via LeMat-Bulk: a geometry-optimized TaRePb2 structure (GGA-PBE).

The structure in POSCAR format:
```
TaRePb2
1.0
4.864 0.000 0.000
0.000 4.864 0.000
0.000 0.000 3.410
Ta Re Pb
1 1 2
direct
0.000 0.000 0.000
0.500 0.500 0.000
0.000 0.500 0.500
0.500 0.000 0.500
```

Computed properties:
Total magnetic moment in μB/f.u.: 0.36


Which one sits at the bottom of the stability order? b does.


a | Entry from Alexandria via LeMat-Bulk: a geometry-optimized TaRePb2 structure (GGA-PBE).

The structure in POSCAR format:
```
TaRePb2
1.0
3.314 0.000 0.000
0.000 3.310 0.000
-0.129 0.000 8.632
Ta Re Pb
1 1 2
direct
0.000 0.000 0.000
0.504 0.500 0.143
0.014 0.000 0.384
0.488 0.500 0.742
```

Computed properties:
Total magnetic moment in μB/f.u.: 0.00


b | Entry from Alexandria via LeMat-Bulk: a geometry-optimized TaRePb2 structure (GGA-PBE).

The structure in POSCAR format:
```
TaRePb2
1.0
3.430 0.000 0.000
0.000 4.770 0.000
0.000 0.000 5.099
Ta Re Pb
1 1 2
direct
0.000 0.000 0.000
0.500 0.000 0.500
0.000 0.500 0.500
0.500 0.500 0.000
```

Computed properties:
Total magnetic moment in μB/f.u.: 0.00


Which one sits at the bottom of the stability order? b does.


a | Entry from Alexandria via LeMat-Bulk: a geometry-optimized TaRePb2 structure (GGA-PBE).

The structure in POSCAR format:
```
TaRePb2
1.0
4.981 -1.714 0.000
4.981 1.714 0.000
-0.347 0.000 4.949
Ta Re Pb
1 1 2
direct
0.000 0.000 0.000
0.500 0.500 0.500
0.249 0.249 0.747
0.751 0.751 0.253
```

Computed properties:
Total magnetic moment in μB/f.u.: 0.00


b | Entry from Alexandria via LeMat-Bulk: a geometry-optimized TaRePb2 structure (GGA-PBE).

The structure in POSCAR format:
```
TaRePb2
1.0
0.000 3.477 3.477
3.477 0.000 3.477
3.477 3.477 0.000
Ta Re Pb
1 1 2
direct
0.000 0.000 0.000
0.250 0.250 0.250
0.500 0.500 0.500
0.750 0.750 0.750
```

Computed properties:
Total magnetic moment in μB/f.u.: 0.00


c | Entry from Alexandria via LeMat-Bulk: a geometry-optimized TaRePb2 structure (GGA-PBE).

The structure in POSCAR format:
```
TaRePb2
1.0
-1.624 2.431 6.032
1.624 -2.431 6.032
1.624 2.431 -6.032
Ta Re Pb
1 1 2
direct
0.000 0.000 0.000
0.844 0.344 0.500
0.306 0.806 0.500
0.591 0.591 0.000
```

Computed properties:
Total magnetic moment in μB/f.u.: 0.00


Which one sits at the bottom of the stability order? a does.


a | Entry from Alexandria via LeMat-Bulk: a geometry-optimized TaRePb structure (GGA-PBE).

The structure in POSCAR format:
```
TaRePb
1.0
4.732 0.000 0.000
-2.366 4.098 0.000
0.000 0.000 2.921
Ta Re Pb
1 1 1
direct
0.000 0.000 0.000
0.333 0.667 0.615
0.667 0.333 0.531
```

Computed properties:
Total magnetic moment in μB/f.u.: 0.00


b | Entry from Alexandria via LeMat-Bulk: a geometry-optimized TaRePb structure (GGA-PBE).

The structure in POSCAR format:
```
TaRePb
1.0
-1.605 1.605 5.855
1.605 -1.605 5.855
1.605 1.605 -5.855
Ta Re Pb
1 1 1
direct
0.000 0.000 0.000
0.619 0.619 0.000
0.297 0.297 0.000
```

Computed properties:
Total magnetic moment in μB/f.u.: 0.00


Which one sits at the bottom of the stability order? a does.


a | Entry from Alexandria via LeMat-Bulk: a geometry-optimized TaRePb structure (GGA-PBE).

The structure in POSCAR format:
```
TaRePb
1.0
3.236 0.000 0.000
-1.618 2.802 0.000
0.000 0.000 7.042
Ta Re Pb
1 1 1
direct
0.000 0.000 0.000
0.333 0.667 0.757
0.667 0.333 0.388
```

Computed properties:
Total magnetic moment in μB/f.u.: 0.00


b | Entry from Alexandria via LeMat-Bulk: a geometry-optimized TaRePb structure (GGA-PBE).

The structure in POSCAR format:
```
TaRePb
1.0
0.000 2.541 7.118
1.693 0.000 7.118
1.693 2.541 0.000
Ta Re Pb
1 1 1
direct
0.000 0.000 0.000
0.632 0.632 0.368
0.312 0.312 0.688
```

Computed properties:
Total magnetic moment in μB/f.u.: 0.00


c | Entry from Alexandria via LeMat-Bulk: a geometry-optimized TaRePb structure (GGA-PBE).

The structure in POSCAR format:
```
TaRePb
1.0
0.000 3.200 3.200
3.200 0.000 3.200
3.200 3.200 0.000
Ta Re Pb
1 1 1
direct
0.000 0.000 0.000
0.250 0.250 0.250
0.500 0.500 0.500
```

Computed properties:
Total magnetic moment in μB/f.u.: 0.00


d | Entry from Alexandria via LeMat-Bulk: a geometry-optimized TaRePb structure (GGA-PBE).

The structure in POSCAR format:
```
TaRePb
1.0
0.000 3.216 3.216
3.216 0.000 3.216
3.216 3.216 0.000
Ta Re Pb
1 1 1
direct
0.000 0.000 0.000
0.250 0.250 0.250
0.750 0.750 0.750
```

Computed properties:
Total magnetic moment in μB/f.u.: 0.00


Which one sits at the bottom of the stability order? d does.


a | Entry from Alexandria via LeMat-Bulk: a geometry-optimized Re2TePb structure (GGA-PBE).

The structure in POSCAR format:
```
Re2TePb
1.0
1.625 -2.708 0.000
1.625 2.708 0.000
0.000 0.000 8.973
Re Te Pb
2 1 1
direct
0.000 0.000 0.239
0.000 0.000 0.761
0.500 0.500 0.000
0.500 0.500 0.500
```

Computed properties:
Total magnetic moment in μB/f.u.: 0.00


b | Entry from Alexandria via LeMat-Bulk: a geometry-optimized Re2TePb structure (GGA-PBE).

The structure in POSCAR format:
```
Re2TePb
1.0
3.293 0.000 0.000
0.000 4.441 0.000
0.000 0.000 5.422
Re Te Pb
2 1 1
direct
0.000 0.000 0.000
0.500 0.000 0.500
0.000 0.500 0.500
0.500 0.500 0.000
```

Computed properties:
Total magnetic moment in μB/f.u.: 0.00


c | Entry from Alexandria via LeMat-Bulk: a geometry-optimized Re2TePb structure (GGA-PBE).

The structure in POSCAR format:
```
Re2TePb
1.0
-2.186 2.186 4.053
2.186 -2.186 4.053
2.186 2.186 -4.053
Re Te Pb
2 1 1
direct
0.000 0.000 0.000
0.750 0.250 0.500
0.250 0.750 0.500
0.500 0.500 0.000
```

Computed properties:
Total magnetic moment in μB/f.u.: 0.00


Which one sits at the bottom of the stability order? b does.